First-principles (GGA-PBEsol) data for a relaxed structure of ZrH6O3F4, as listed in Alexandria.

The structure in extended XYZ format:
```
28
Lattice="5.7507 0.0000 0.0000 2.5422 6.0382 0.0000 1.9002 1.0230 7.1485" Properties=species:S:1:pos:R:3 pbc="T T T"
Zr 1.5968 1.2121 2.0143
Zr 8.5963 5.8492 5.1342
H 5.0012 5.7531 7.0082
H 4.5122 4.2302 6.7004
H 3.4489 3.1360 3.1047
H 3.4551 1.0499 4.8273
H 4.2431 1.8357 6.0351
H 5.9634 4.7884 5.2448
H 4.2298 2.2728 1.9037
H 5.9500 5.2255 1.1134
H 6.7380 6.0113 2.3212
H 6.7442 3.9252 4.0438
H 5.6809 2.8311 0.4481
H 5.1920 1.3081 0.1403
O 4.7119 5.1191 6.2652
O 3.3690 2.4156 2.4066
O 4.3256 1.1748 5.2888
O 5.8675 5.8865 1.8597
O 6.8241 4.6456 4.7419
O 5.4812 1.9421 0.8833
F 3.5242 4.1814 4.2360
F 2.0396 0.6369 4.0389
F 3.5289 5.6295 0.9702
F 2.2472 1.8149 0.1273
F 7.9459 5.2463 7.0213
F 6.6643 1.4317 6.1783
F 8.1536 6.4243 3.1096
F 6.6689 2.8798 2.9126
```

Summary:
For the total DFT energy (no corrections), the calculation gives -5.785 eV per atom. For the volume, the calculation gives 248.23 Å³ per cell.